First-principles (PBE-GGA) data for RbAgSb after structural relaxation, as listed in Alexandria via LeMat-Bulk.

Computed properties:
Its energy relative to the elements, uncorrected is -202 meV/atom. Its space-group type is P3m1 (156). The excess energy over the best structure of this formula in the dataset is 0.00 eV per formula unit. As for the total magnetic moment: 0.00 μB/cell.

Cell and atoms, written as extended XYZ:
```
3
Lattice="-5.325 0.586 -1.870 1.100 -2.418 -3.889 -1.588 -2.265 3.811" Properties=species:S:1:pos:R:3 pbc="T T T"
Rb -3.346 -1.977 -2.569
Ag -0.885 0.097 -0.311
Sb -1.582 -2.218 0.932
```


First-principles (PBE-GGA) data for Rb2HgGeF6 after structural relaxation, as listed in Alexandria via LeMat-Bulk.

Computed properties:
Its energy relative to the elements, uncorrected is -2186 meV/atom. Its space-group type is Fm-3m (225). As for the total magnetic moment: 0.00 μB/cell.

Cell and atoms, written as extended XYZ:
```
10
Lattice="6.422 0.000 0.000 0.000 6.422 0.000 3.211 3.211 4.542" Properties=species:S:1:pos:R:3 pbc="T T T"
Ge 3.211 3.211 0.000
F 4.753 1.668 0.000
F 3.211 3.211 2.181
F 1.668 4.753 0.000
F 6.422 6.422 2.361
F 4.753 4.753 0.000
F 1.668 1.668 0.000
Hg 0.000 0.000 0.000
Rb 3.211 6.422 2.271
Rb 6.422 3.211 2.271
```


First-principles (PBE-GGA) data for InSn2Br2 after structural relaxation, as listed in Alexandria via LeMat-Bulk.

Computed properties:
Its energy relative to the elements, uncorrected is -282 meV/atom. Its space-group type is P4/mbm (127). The excess energy over the best structure of this formula in the dataset is 0.00 eV per formula unit. As for the total magnetic moment: 0.00 μB/cell.

Cell and atoms, written as extended XYZ:
```
10
Lattice="-4.120 2.751 5.955 5.365 -2.632 4.928 2.731 4.882 -0.366" Properties=species:S:1:pos:R:3 pbc="T T T"
Sn -1.888 1.392 4.483
Sn 3.133 -1.273 6.400
Sn -0.125 0.690 8.277
Sn 1.370 -0.571 2.606
In 0.623 0.059 5.441
In 0.000 0.000 0.000
Br -0.446 3.840 4.969
Br 1.823 2.800 8.031
Br 2.153 2.201 2.486
Br 4.422 1.161 5.548
```


First-principles (PBE-GGA) data for Sc3TeO after structural relaxation, as listed in Alexandria via LeMat-Bulk.

Computed properties:
Its energy relative to the elements, uncorrected is -1485 meV/atom. Its space-group type is Ama2 (40). The excess energy over the best structure of this formula in the dataset is 0.00 eV per formula unit. As for the total magnetic moment: 0.00 μB/cell.

Cell and atoms, written as extended XYZ:
```
10
Lattice="4.318 0.000 0.000 0.000 6.989 0.000 0.000 -3.495 6.873" Properties=species:S:1:pos:R:3 pbc="T T T"
Te 3.238 1.557 1.664
Te 1.079 -1.938 5.209
Sc 1.079 0.952 5.846
Sc 3.238 -0.327 3.936
Sc 3.238 3.087 5.540
Sc 1.079 3.168 2.937
Sc 3.238 4.446 1.027
Sc 1.079 -0.408 1.333
O 1.079 4.371 1.139
O 3.238 0.876 5.734
```